[1]
BaAgPCl2, optimized geometry, DFT PBE-GGA; energy relative to the elements, uncorrected = -0.758 eV/atom; uncorrected energy = -3.534 eV per atom; space-group type = P4/mmm; energy relative to the lowest polymorph listed for this composition = 0.0 kJ per mole of atoms; total magnetization = 1.26 μB per cell
1.0
5.252 0.000 0.000
0.000 5.252 0.000
0.000 0.000 4.947
Cl P Ag Ba
2 1 1 1
direct
0.500 0.000 0.000
0.000 0.500 0.000
0.000 0.000 0.500
0.000 0.000 0.000
0.500 0.500 0.500


[2]
InNi2W, optimized geometry, DFT PBE-GGA; uncorrected energy = -6.548 eV per atom; space-group type = R-3m; total magnetization = 0.00 μB per cell; DFT formation energy = 0.266 eV/atom
1.0
-7.503 3.493 -2.556
-6.945 1.867 -4.828
-8.243 0.742 -2.556
In W Ni
1 1 2
direct
0.750 0.750 0.750
0.250 0.250 0.250
0.503 0.503 0.503
0.997 0.997 0.997


[3]
NaAcGaAu, optimized geometry, DFT PBE-GGA; uncorrected energy = -3.332 eV per atom; space-group type = F-43m; total magnetization = 0.00 μB per cell; DFT formation energy = -0.399 eV/atom
1.0
-1.430 4.227 -2.879
-5.097 1.478 -0.196
-1.567 4.458 2.425
Ac Ga Au Na
1 1 1 1
direct
0.000 0.000 0.000
0.250 0.250 0.250
0.750 0.750 0.750
0.500 0.500 0.500


[4]
BeFeSe, optimized geometry, DFT PBE-GGA; energy relative to the elements, uncorrected = 0.169 eV/atom; uncorrected energy = -5.056 eV per atom; space-group type = F-43m; energy relative to the lowest polymorph listed for this composition = 4.0 kJ per mole of atoms; total magnetization = 1.32 μB per cell
1.0
3.829 0.000 0.000
1.915 3.316 0.000
1.915 1.105 3.126
Be Se Fe
1 1 1
direct
0.500 0.500 0.500
0.000 0.000 0.000
0.750 0.750 0.750


[5]
Ho4TeAuS2, optimized geometry, DFT PBE-GGA; energy relative to the elements, uncorrected = -1.473 eV/atom; uncorrected energy = -5.597 eV per atom; space-group type = P2/m; total magnetization = 0.00 μB per cell
1.0
-2.617 2.502 1.533
-3.868 -5.656 2.629
2.400 -1.389 6.363
Ho S Te Au
4 2 1 1
direct
0.500 0.228 0.748
0.000 0.784 0.728
0.500 0.772 0.252
0.000 0.216 0.272
0.500 0.000 0.500
0.000 0.000 0.000
0.500 0.500 0.000
0.000 0.500 0.500


[6]
LiInPPd2, optimized geometry, DFT PBE-GGA; uncorrected energy = -3.692 eV per atom; space-group type = P4/mmm; total magnetization = 0.00 μB per cell; DFT formation energy = 0.398 eV/atom
1.0
-1.789 2.184 -3.247
-4.190 -0.698 1.840
0.378 3.650 2.246
Pd In Li P
2 1 1 1
direct
0.500 0.000 0.000
0.000 0.000 0.500
0.000 0.500 0.000
0.000 0.000 0.000
0.500 0.500 0.500


[7]
Sr2MgNiPb, optimized geometry, DFT PBE-GGA; uncorrected energy = -3.005 eV per atom; space-group type = P4/mmm; total magnetization = 0.00 μB per cell; DFT formation energy = -0.115 eV/atom
1.0
-4.005 3.513 -1.927
-3.288 -4.439 -1.259
-1.990 0.198 4.498
Ni Mg Pb Sr
1 1 1 2
direct
0.000 0.000 0.000
0.000 0.000 0.500
0.500 0.500 0.500
0.500 0.000 0.000
0.000 0.500 0.000


[8]
Nb2RuN, optimized geometry, DFT PBE-GGA; energy relative to the elements, uncorrected = -0.525 eV/atom; uncorrected energy = -9.960 eV per atom; space-group type = R3m; total magnetization = 0.00 μB per cell
1.0
-0.184 -1.884 2.420
1.110 -2.859 -0.191
6.382 0.632 2.927
Ru Nb N
1 2 1
direct
0.498 0.498 0.506
0.062 0.062 0.813
0.272 0.272 0.183
0.668 0.668 0.997